No. 1
A plane-wave DFT calculation with PBE-GGA was carried out for PrDyC4 after structural relaxation.

Computed properties:
- Size of the total moment: 0.000 Bohr magnetons per cell
- SG: No. 123
- Energy of formation: -0.693 eV per formula unit
- Uncorrected energy: -46.970 eV per cell
- V: 15.214 Å³ per atom

Lattice parameters (Å, degrees): 3.784 3.784 6.374 90.00 90.00 90.00
Fractional coordinates of all 6 atoms:
Pr 0.000 0.000 0.000
Dy 0.500 0.500 0.500
C 0.000 0.000 0.601
C 0.500 0.500 0.103
C 0.500 0.500 0.897
C 0.000 0.000 0.399

***

No. 2
A plane-wave DFT calculation with PBE-GGA was carried out for PrDyC4 after structural relaxation.

Computed properties:
- Size of the total moment: 0.000 Bohr magnetons per cell
- SG: No. 12
- Energy of formation: -0.846 eV per formula unit
- Uncorrected energy: -47.123 eV per cell
- V: 15.124 Å³ per atom

Lattice parameters (Å, degrees): 3.761 4.230 6.649 80.02 73.57 63.60
Fractional coordinates of all 6 atoms:
Pr 0.000 0.000 0.000
Dy 0.500 0.500 0.500
C 0.808 0.601 0.782
C 0.300 0.087 0.314
C 0.192 0.399 0.218
C 0.700 0.913 0.686

***

No. 3
A plane-wave DFT calculation with PBE-GGA was carried out for Pr2DyC after structural relaxation.

Computed properties:
- Size of the total moment: 0.000 Bohr magnetons per cell
- SG: No. 166
- Energy of formation: 0.419 eV per formula unit
- Uncorrected energy: -22.966 eV per cell
- V: 28.932 Å³ per atom

Lattice parameters (Å, degrees): 3.648 3.648 10.263 79.76 79.76 60.00
Fractional coordinates of all 4 atoms:
Pr 0.119 0.119 0.644
Pr 0.881 0.881 0.356
C 0.500 0.500 0.500
Dy 0.000 0.000 0.000

***

No. 4
A plane-wave DFT calculation with PBE-GGA was carried out for PrDy2C after structural relaxation.

Computed properties:
- Size of the total moment: 0.222 Bohr magnetons per cell
- SG: No. 160
- Energy of formation: -0.699 eV per formula unit
- Uncorrected energy: -23.907 eV per cell
- V: 26.177 Å³ per atom

Lattice parameters (Å, degrees): 3.598 3.598 9.566 90.00 100.84 120.00
Site moments in Bohr magnetons follow the coordinates.
Fractional coordinates of all 4 atoms:
Pr 0.670 0.835 0.504  0.08
Dy 0.762 0.381 0.144  0.02
Dy 0.236 0.618 0.854  0.01
C 0.999 0.999 0.998  0.00

***

No. 5
A plane-wave DFT calculation with PBE-GGA was carried out for Pr2Dy2Sb2C after structural relaxation.

Computed properties:
- Size of the total moment: 0.001 Bohr magnetons per cell
- SG: No. 139
- Uncorrected energy: -42.098 eV per cell
- V: 27.135 Å³ per atom

Lattice parameters (Å, degrees): 4.802 4.802 8.909 105.64 105.64 90.00
Fractional coordinates of all 7 atoms:
Pr 0.164 0.164 0.327
Pr 0.836 0.836 0.673
Dy 0.000 0.500 0.000
Dy 0.500 0.000 0.000
Sb 0.364 0.364 0.728
Sb 0.636 0.636 0.272
C 0.000 0.000 0.000

***

No. 6
A plane-wave DFT calculation with PBE-GGA was carried out for Pr2DySnC after structural relaxation.

Computed properties:
- Size of the total moment: 0.000 Bohr magnetons per cell
- SG: No. 123
- Energy of formation: -2.432 eV per formula unit
- Uncorrected energy: -29.820 eV per cell
- V: 26.145 Å³ per atom

Lattice parameters (Å, degrees): 4.913 5.158 5.158 90.00 90.00 90.00
Fractional coordinates of all 5 atoms:
Pr 0.000 0.000 0.500
Pr 0.000 0.500 0.000
Dy 0.500 0.000 0.000
Sn 0.500 0.500 0.500
C 0.000 0.000 0.000

***

No. 7
A plane-wave DFT calculation with PBE-GGA was carried out for Dy4PtC2 after structural relaxation.

Computed properties:
- Size of the total moment: 0.000 Bohr magnetons per cell
- SG: No. 63
- Energy of formation: -3.555 eV per formula unit
- Uncorrected energy: -92.905 eV per cell
- V: 20.192 Å³ per atom

Lattice parameters (Å, degrees): 3.673 6.355 12.650 90.00 90.00 106.80
Fractional coordinates of all 14 atoms:
C 0.135 0.271 0.439
C 0.865 0.729 0.939
C 0.135 0.271 0.061
C 0.865 0.729 0.561
Pt 0.612 0.223 0.750
Pt 0.388 0.777 0.250
Dy 0.769 0.537 0.108
Dy 0.769 0.537 0.392
Dy 0.231 0.463 0.892
Dy 0.231 0.463 0.608
Dy 0.934 0.868 0.750
Dy 0.066 0.132 0.250
Dy 0.500 0.000 0.000
Dy 0.500 0.000 0.500

***

No. 8
A plane-wave DFT calculation with PBE-GGA was carried out for Dy3PtC after structural relaxation.

Computed properties:
- Size of the total moment: 0.000 Bohr magnetons per cell
- SG: No. 62
- Energy of formation: -3.319 eV per formula unit
- Uncorrected energy: -129.560 eV per cell
- V: 21.689 Å³ per atom

Lattice parameters (Å, degrees): 3.671 8.610 13.725 90.00 90.00 90.00
Fractional coordinates of all 20 atoms:
Dy 0.750 0.187 0.305
Dy 0.250 0.675 0.967
Dy 0.250 0.001 0.106
Dy 0.250 0.501 0.394
Dy 0.250 0.175 0.533
Dy 0.750 0.499 0.606
Dy 0.250 0.313 0.805
Dy 0.750 0.999 0.894
Dy 0.750 0.325 0.033
Dy 0.750 0.687 0.195
Dy 0.750 0.825 0.467
Dy 0.250 0.813 0.695
Pt 0.250 0.901 0.312
Pt 0.750 0.099 0.688
Pt 0.750 0.599 0.812
Pt 0.250 0.401 0.188
C 0.250 0.662 0.548
C 0.750 0.338 0.452
C 0.750 0.838 0.048
C 0.250 0.162 0.952

***

No. 9
A plane-wave DFT calculation with PBE-GGA was carried out for Dy3PtC after structural relaxation.

Computed properties:
- Size of the total moment: 0.000 Bohr magnetons per cell
- SG: No. 221
- Energy of formation: -2.386 eV per formula unit
- Uncorrected energy: -31.457 eV per cell
- V: 22.097 Å³ per atom

Lattice parameters (Å, degrees): 4.798 4.798 4.798 90.00 90.00 90.00
Fractional coordinates of all 5 atoms:
C 0.000 0.000 0.000
Pt 0.500 0.500 0.500
Dy 0.000 0.500 0.000
Dy 0.000 0.000 0.500
Dy 0.500 0.000 0.000

***

No. 10
A plane-wave DFT calculation with PBE-GGA was carried out for Dy2PuC after structural relaxation.

Computed properties:
- Size of the total moment: 6.276 Bohr magnetons per cell
- SG: No. 166
- Energy of formation: 0.163 eV per formula unit
- Uncorrected energy: -32.597 eV per cell
- V: 25.583 Å³ per atom

Lattice parameters (Å, degrees): 3.493 3.493 9.890 79.83 79.83 60.00
Site moments in Bohr magnetons follow the coordinates.
Fractional coordinates of all 4 atoms:
C 0.500 0.500 0.500  0.01
Dy 0.119 0.119 0.642  0.02
Dy 0.881 0.881 0.358  0.02
Pu 0.000 0.000 0.000  5.72

***

No. 11
A plane-wave DFT calculation with PBE-GGA was carried out for DyPu3C after structural relaxation.

Computed properties:
- Size of the total moment: 16.296 Bohr magnetons per cell
- SG: No. 221
- Energy of formation: 1.050 eV per formula unit
- Uncorrected energy: -55.771 eV per cell
- V: 24.005 Å³ per atom

Lattice parameters (Å, degrees): 4.933 4.933 4.933 90.00 90.00 90.00
Site moments in Bohr magnetons follow the coordinates.
Fractional coordinates of all 5 atoms:
C 0.000 0.000 0.000  -0.28
Dy 0.500 0.500 0.500  0.35
Pu 0.000 0.500 0.000  5.09
Pu 0.000 0.000 0.500  5.09
Pu 0.500 0.000 0.000  5.09

***

No. 12
A plane-wave DFT calculation with PBE-GGA was carried out for DyPu2ReC4 after structural relaxation.

Computed properties:
- Size of the total moment: 18.509 Bohr magnetons per cell
- SG: No. 63
- Energy of formation: 0.474 eV per formula unit
- Uncorrected energy: -164.271 eV per cell
- V: 15.552 Å³ per atom

Lattice parameters (Å, degrees): 3.458 6.066 12.375 90.00 90.00 106.56
Site moments in Bohr magnetons follow the coordinates.
Fractional coordinates of all 16 atoms:
Dy 0.108 0.216 0.750  0.02
Dy 0.892 0.784 0.250  0.02
Pu 0.368 0.736 0.537  4.56
Pu 0.632 0.264 0.037  4.56
Pu 0.632 0.264 0.463  4.56
Pu 0.368 0.736 0.963  4.56
Re 0.843 0.686 0.750  0.20
Re 0.157 0.314 0.250  0.20
C 0.261 0.523 0.130  -0.07
C 0.739 0.477 0.630  -0.07
C 0.739 0.477 0.870  -0.07
C 0.261 0.523 0.370  -0.07
C 0.000 0.000 0.500  -0.24
C 0.000 0.000 0.000  -0.24
C 0.437 0.874 0.750  -0.03
C 0.563 0.126 0.250  -0.03